Below is DyCr2O2 after structural relaxation, with properties calculated at the PBE with a Hubbard U level.

Structure (POSCAR):
```
DyCr2O2
1.0
-4.4779 4.4779 4.7586
4.4779 -4.4779 4.7586
4.4779 4.4779 -4.7586
Dy Cr O
4 8 8
direct
0.8750 0.1250 0.7500
0.3750 0.1250 0.2500
0.8750 0.6250 0.7500
0.8750 0.1250 0.2500
0.7929 0.4846 0.3083
0.1763 0.4846 0.6917
0.2346 0.4263 0.1917
0.5737 0.7654 0.8083
0.9571 0.7654 0.1917
0.2346 0.0429 0.8083
0.5154 0.8237 0.3083
0.5154 0.2071 0.6917
0.4856 0.3314 0.1542
0.1772 0.3314 0.8458
0.0814 0.4272 0.3458
0.5728 0.9186 0.6542
0.2644 0.9186 0.3458
0.0814 0.7356 0.6542
0.6686 0.8228 0.1542
0.6686 0.5144 0.8458
```

As for the offset from the most stable computed form: 0.117 eV per atom. The calculation puts the density of states at the Fermi level at 6.2 states/eV/cell. The calculated volume comes out at 381.7 Å³ per cell.